Entry from the Alexandria database: an optimized crystal structure of Sn2SbWC (GGA-PBE).

Results
Total energy ... -20.429 eV/cell
Formation energy without anion corrections ... 2.7752 eV/atom
Space-group type ... P4/mmm
Size of the total moment ... 3.781 μB per formula unit

Cell lengths 5.7862, 5.7862, 5.1043 Å; angles 90.00, 90.00, 90.00 degrees
Sites, in units of the cell vectors:
Sn  0.0000  0.5000  0.0000
Sn  0.5000  0.0000  0.0000
Sb  0.0000  0.0000  0.0000
W  0.0000  0.0000  0.5000
C  0.5000  0.5000  0.5000